Entry 1:
## Co2Re (GGA-PBE)

Data for Co2Re after structural relaxation.

Cell lengths 4.8773, 4.8773, 6.0968 Å; angles 103.29, 103.29, 31.15 degrees
With the nearest neighbours (Å) after each atom.
Fractional coordinates of all 6 atoms:
Co: 0.0000 0.0000 0.0000  5 Re 2.54-2.58, 7 Co 2.56-2.63
Co: 0.0596 0.0596 0.6102  8 Co 2.53-2.62, 4 Re 2.54-2.55
Co: 0.3409 0.3409 0.6711  3 Re 2.50-2.55, 9 Co 2.54-2.62
Co: 0.6703 0.6703 0.3374  4 Re 2.52-2.59, 8 Co 2.53-2.63
Re: 0.3959 0.3959 0.2890  8 Co 2.50-2.57, 4 Re 2.62-2.72
Re: 0.7186 0.7186 0.9359  8 Co 2.54-2.59, 4 Re 2.62-2.72

Output
The relative energy among the computed polymorphs is 123 meV per atom. The magnetization is 1.604 μB per formula unit. The value obtained for the calculated density is 13.86 g/cm³. For the density of states at the Fermi level, the calculation gives 6.50 states/eV/cell. The calculation puts the calculated total energy at -52.9 eV for the cell shown.


Entry 2:
## TiZnPt2O (GGA-PBE)

Data for TiZnPt2O after structural relaxation.

Cell lengths 4.4790, 4.4790, 3.7717 Å; angles 90.00, 90.00, 90.00 degrees
With the nearest neighbours (Å) after each atom.
Fractional coordinates of all 5 atoms:
Ti: 0.0000 0.0000 0.0000  2 O 1.89
Zn: 0.5000 0.5000 0.0000  8 Pt 2.93, 4 Ti 3.17
Pt: 0.0000 0.5000 0.5000  2 O 2.24
Pt: 0.5000 0.0000 0.5000  2 O 2.24
O: 0.0000 0.0000 0.5000  2 Ti 1.89

Output
The uncorrected formation energy is -0.41 eV/atom. The magnetization is 0.000 μB per formula unit. The value obtained for the calculated density is 11.40 g/cm³. For the density of states at the Fermi level, the calculation gives 6.46 states/eV/cell. The calculation puts the calculated total energy at -28.3 eV for the cell shown.


Entry 3:
## Nb2P2I (GGA-PBE)

Data for Nb2P2I after structural relaxation.

Cell lengths 7.4889, 7.4889, 3.2246 Å; angles 90.00, 90.00, 90.00 degrees
With the nearest neighbours (Å) after each atom.
Fractional coordinates of all 10 atoms:
Nb: 0.1519 0.3481 0.0000  6 P 2.63-2.87
Nb: 0.3481 0.8481 0.0000  6 P 2.63-2.87
Nb: 0.6519 0.1519 0.0000  6 P 2.63-2.87
Nb: 0.8481 0.6519 0.0000  6 P 2.63-2.87
P: 0.1240 0.6240 0.5000  1 P 2.63, 6 Nb 2.63-2.87
P: 0.3760 0.1240 0.5000  1 P 2.63, 6 Nb 2.63-2.87
P: 0.6240 0.8760 0.5000  1 P 2.63, 6 Nb 2.63-2.87
P: 0.8760 0.3760 0.5000  1 P 2.63, 6 Nb 2.63-2.87
I: 0.0000 0.0000 0.5000  4 P 2.97, 2 I 3.22, 8 Nb 3.27
I: 0.5000 0.5000 0.5000  4 P 2.97, 2 I 3.22, 8 Nb 3.27

Output
The relative energy among the computed polymorphs is 253 meV per atom. The uncorrected formation energy is -0.01 eV/atom. The magnetization is 0.000 μB per formula unit. The value obtained for the calculated density is 6.88 g/cm³. For the density of states at the Fermi level, the calculation gives 6.82 states/eV/cell. The calculation puts the calculated total energy at -65.2 eV for the cell shown.


Entry 4:
## Sb2TeAuS (GGA-PBE)

Data for Sb2TeAuS after structural relaxation.

Cell lengths 5.4118, 5.4118, 5.3349 Å; angles 90.00, 90.00, 90.00 degrees
With the nearest neighbours (Å) after each atom.
Fractional coordinates of all 5 atoms:
Sb: 0.0000 0.5000 0.0000  2 Au 2.71
Sb: 0.5000 0.0000 0.0000  2 Au 2.71
Te: 0.0000 0.0000 0.5000  2 Au 2.67
Au: 0.0000 0.0000 0.0000  2 Te 2.67, 4 Sb 2.71
S: 0.5000 0.5000 0.5000  8 Sb 3.80, 4 Te 3.83

Output
The relative energy among the computed polymorphs is 143 meV per atom. The uncorrected formation energy is 0.83 eV/atom. The magnetization is 0.000 μB per formula unit. The value obtained for the calculated density is 6.38 g/cm³. For the density of states at the Fermi level, the calculation gives 7.09 states/eV/cell. The calculation puts the calculated total energy at -14.7 eV for the cell shown.


Entry 5:
## UTiCl6 (GGA-PBE)

Data for UTiCl6 after structural relaxation.

Cell lengths 7.0547, 7.0547, 7.0547 Å; angles 55.80, 55.80, 55.80 degrees
With the nearest neighbours (Å) after each atom.
Fractional coordinates of all 8 atoms:
U: 0.0000 0.0000 0.0000  6 Cl 2.69
Ti: 0.5000 0.5000 0.5000  6 Cl 2.47
Cl: 0.1245 0.7367 0.4004  1 Ti 2.47, 1 U 2.69
Cl: 0.2633 0.5996 0.8755  1 Ti 2.47, 1 U 2.69
Cl: 0.4004 0.1245 0.7367  1 Ti 2.47, 1 U 2.69
Cl: 0.5996 0.8755 0.2633  1 Ti 2.47, 1 U 2.69
Cl: 0.7367 0.4004 0.1245  1 Ti 2.47, 1 U 2.69
Cl: 0.8755 0.2633 0.5996  1 Ti 2.47, 1 U 2.69

Output
The relative energy among the computed polymorphs is 27 meV per atom. The uncorrected formation energy is -1.60 eV/atom. The magnetization is 4.000 μB per formula unit. The value obtained for the calculated density is 3.69 g/cm³. For the density of states at the Fermi level, the calculation gives 12.11 states/eV/cell. The calculation puts the calculated total energy at -43.1 eV for the cell shown.


Entry 6:
## La2BeCuC (GGA-PBE)

Data for La2BeCuC after structural relaxation.

Cell lengths 5.2819, 5.2819, 3.7752 Å; angles 90.00, 90.00, 90.00 degrees
With the nearest neighbours (Å) after each atom.
Fractional coordinates of all 5 atoms:
La: 0.0000 0.5000 0.0000  2 C 2.64
La: 0.5000 0.0000 0.0000  2 C 2.64
Be: 0.0000 0.0000 0.5000  8 La 3.25
Cu: 0.5000 0.5000 0.5000  2 C 1.89
C: 0.5000 0.5000 0.0000  2 Cu 1.89

Output
The relative energy among the computed polymorphs is 232 meV per atom. The magnetization is 0.000 μB per formula unit. The value obtained for the calculated density is 5.71 g/cm³. For the density of states at the Fermi level, the calculation gives 5.39 states/eV/cell. The calculation puts the calculated total energy at -26.2 eV for the cell shown.


Entry 7:
## SnBr (GGA-PBE)

Data for SnBr after structural relaxation.

Cell lengths 8.3665, 8.3665, 8.3665 Å; angles 109.47, 109.47, 109.47 degrees
With the nearest neighbours (Å) after each atom.
Fractional coordinates of all 8 atoms:
Sn: 0.0000 0.0000 0.2360  4 Br 3.16-3.18, 3 Sn 3.22
Sn: 0.0000 0.2360 0.0000  4 Br 3.16-3.18, 3 Sn 3.22
Sn: 0.2360 0.0000 0.0000  4 Br 3.16-3.18, 3 Sn 3.22
Sn: 0.7640 0.7640 0.7640  4 Br 3.16-3.18, 3 Sn 3.22
Br: 0.0000 0.0000 0.6159  4 Sn 3.16-3.18
Br: 0.0000 0.6159 0.0000  4 Sn 3.16-3.18
Br: 0.3841 0.3841 0.3841  4 Sn 3.16-3.18
Br: 0.6159 0.0000 0.0000  4 Sn 3.16-3.18

Output
The uncorrected formation energy is -0.13 eV/atom. The magnetization is 0.000 μB per formula unit. The value obtained for the calculated density is 2.93 g/cm³. For the density of states at the Fermi level, the calculation gives 5.08 states/eV/cell. The calculation puts the calculated total energy at -23.7 eV for the cell shown.


Entry 8:
## HfHgAs2Se (GGA-PBE)

Data for HfHgAs2Se after structural relaxation.

Cell lengths 5.0508, 5.0508, 5.1049 Å; angles 90.00, 90.00, 90.00 degrees
With the nearest neighbours (Å) after each atom.
Fractional coordinates of all 5 atoms:
Hf: 0.0000 0.0000 0.0000  4 Se 3.57, 8 As 3.59
Hg: 0.5000 0.5000 0.5000  4 As 2.53, 2 Se 2.55
As: 0.0000 0.5000 0.5000  2 Hg 2.53
As: 0.5000 0.0000 0.5000  2 Hg 2.53
Se: 0.5000 0.5000 0.0000  2 Hg 2.55

Output
The relative energy among the computed polymorphs is 948 meV per atom. The uncorrected formation energy is 0.97 eV/atom. The magnetization is 0.000 μB per formula unit. The value obtained for the calculated density is 7.75 g/cm³. For the density of states at the Fermi level, the calculation gives 3.94 states/eV/cell. The calculation puts the calculated total energy at -18.2 eV for the cell shown.


Entry 9:
## P3Cl (GGA-PBE)

Data for P3Cl after structural relaxation.

Cell lengths 5.4219, 5.4219, 5.4219 Å; angles 146.47, 127.15, 64.05 degrees
With the nearest neighbours (Å) after each atom.
Fractional coordinates of all 4 atoms:
P: 0.0000 0.0000 0.0000  4 P 2.34
P: 0.1897 0.6897 0.5000  2 P 2.34
P: 0.8103 0.3103 0.5000  2 P 2.34
Cl: 0.5000 0.5000 0.0000  8 P 2.88-2.98, 2 Cl 3.13

Output
The relative energy among the computed polymorphs is 403 meV per atom. The uncorrected formation energy is 0.62 eV/atom. The magnetization is 0.000 μB per formula unit. The value obtained for the calculated density is 3.07 g/cm³. For the density of states at the Fermi level, the calculation gives 1.60 states/eV/cell. The calculation puts the calculated total energy at -15.6 eV for the cell shown.


Entry 10:
## CeNi6Ir2 (GGA-PBE)

Data for CeNi6Ir2 after structural relaxation.

Cell lengths 6.7351, 6.7351, 6.7351 Å; angles 143.90, 134.48, 59.43 degrees
With the nearest neighbours (Å) after each atom.
Fractional coordinates of all 9 atoms:
Ce: 0.0000 0.0000 0.0000  4 Ni 2.55
Ni: 0.0590 0.2989 0.7601  4 Ni 2.35-2.50, 3 Ir 2.53-2.63
Ni: 0.2813 0.5000 0.7813  3 Ni 2.28-2.35, 2 Ce 2.55
Ni: 0.4611 0.7011 0.7601  4 Ni 2.35-2.50, 3 Ir 2.53-2.63
Ni: 0.5389 0.2989 0.2399  4 Ni 2.35-2.50, 3 Ir 2.53-2.63
Ni: 0.7187 0.5000 0.2187  3 Ni 2.28-2.35, 2 Ce 2.55
Ni: 0.9410 0.7011 0.2399  4 Ni 2.35-2.50, 3 Ir 2.53-2.63
Ir: 0.3832 0.8832 0.5000  10 Ni 2.53-2.74, 1 Ir 2.73
Ir: 0.6168 0.1168 0.5000  10 Ni 2.53-2.74, 1 Ir 2.73

Output
The magnetization is 0.011 μB per formula unit. The value obtained for the calculated density is 11.44 g/cm³. For the density of states at the Fermi level, the calculation gives 13.65 states/eV/cell. The calculation puts the calculated total energy at -58.4 eV for the cell shown.


Entry 11:
## NdAl2GaCu4 (GGA-PBE)

Data for NdAl2GaCu4 after structural relaxation.

Cell lengths 9.0289, 9.0289, 9.0289 Å; angles 26.76, 26.76, 26.76 degrees
With the nearest neighbours (Å) after each atom.
Fractional coordinates of all 8 atoms:
Nd: 0.0000 0.0000 0.0000  8 Cu 3.07-3.39, 6 Al 3.36
Al: 0.2438 0.2438 0.2438  6 Cu 2.45-2.63
Al: 0.7562 0.7562 0.7562  6 Cu 2.45-2.63
Ga: 0.5000 0.5000 0.5000  8 Cu 2.45-2.60
Cu: 0.1297 0.1297 0.1297  3 Ga 2.60, 3 Al 2.63, 3 Cu 2.83
Cu: 0.4061 0.4061 0.4061  1 Ga 2.45, 3 Al 2.45
Cu: 0.5939 0.5939 0.5939  1 Ga 2.45, 3 Al 2.45
Cu: 0.8703 0.8703 0.8703  3 Ga 2.60, 3 Al 2.63, 3 Cu 2.83

Output
The magnetization is 0.000 μB per formula unit. The value obtained for the calculated density is 6.59 g/cm³. For the density of states at the Fermi level, the calculation gives 3.05 states/eV/cell. The calculation puts the calculated total energy at -33.6 eV for the cell shown.


Entry 12:
## Ni2PBr (GGA-PBE)

Data for Ni2PBr after structural relaxation.

Cell lengths 4.3030, 4.3030, 4.3030 Å; angles 60.00, 60.00, 60.00 degrees
With the nearest neighbours (Å) after each atom.
Fractional coordinates of all 4 atoms:
Ni: 0.2500 0.2500 0.2500  4 Br 2.64, 4 P 2.64
Ni: 0.7500 0.7500 0.7500  4 Br 2.64, 4 P 2.64
P: 0.0000 0.0000 0.0000  8 Ni 2.64
Br: 0.5000 0.5000 0.5000  8 Ni 2.64

Output
The relative energy among the computed polymorphs is 731 meV per atom. The uncorrected formation energy is 0.47 eV/atom. The magnetization is 0.000 μB per formula unit. The value obtained for the calculated density is 6.73 g/cm³. For the density of states at the Fermi level, the calculation gives 3.52 states/eV/cell. The calculation puts the calculated total energy at -16.8 eV for the cell shown.